Computed, not measured: CaAlSi2 after structural relaxation at the PBE level of DFT.

Cell: 3.8788 4.9142 4.9142 Å, 106.43 90.00 90.00°
Last column: nearest neighbours and their distance in Å.
Element x y z (fractional)
Si1 0.5000 0.4983 0.8905  1 Si 2.29, 2 Al 2.47-2.52
Si2 0.5000 0.1095 0.5017  1 Si 2.29, 2 Al 2.47-2.52
Al1 0.5000 0.5892 0.4108  4 Si 2.47-2.52
Ca1 0.0000 0.0180 0.9820  8 Si 3.14-3.18

Calculated values
- DOS at the Fermi energy: 1.35 states/eV per cell
- Raw formation energy: -0.027 eV/atom
- ρ: 2.28 g/cm³
- Symmetry: Amm2, No. 38